1.
{
  "formula": "LuScFePd",
  "functional": "PBE",
  "state": "optimized geometry",
  "lattice": [[4.638, 0.000, 0.000], [2.319, 4.016, 0.000], [2.319, 1.339, 3.787]],
  "species": ["Sc", "Lu", "Fe", "Pd"],
  "frac_coords": [[0.000, 0.000, 0.000], [0.500, 0.500, 0.500], [0.250, 0.250, 0.250], [0.750, 0.750, 0.750]],
  "delta_e_f_ev_per_atom": -0.42
}

2.
{
  "formula": "TbLuFePd",
  "functional": "PBE",
  "state": "optimized geometry",
  "lattice": [[-4.355, -1.909, 0.594], [-0.992, -4.319, -1.823], [-0.593, -3.754, 2.919]],
  "species": ["Lu", "Tb", "Fe", "Pd"],
  "frac_coords": [[0.750, 0.750, 0.750], [0.250, 0.250, 0.250], [0.500, 0.500, 0.500], [0.000, 0.000, 0.000]],
  "delta_e_f_ev_per_atom": -0.34
}

3.
{
  "formula": "TmLuFePd",
  "functional": "PBE",
  "state": "optimized geometry",
  "lattice": [[4.746, 0.000, 0.000], [2.373, 4.111, 0.000], [2.373, 1.370, 3.875]],
  "species": ["Lu", "Tm", "Fe", "Pd"],
  "frac_coords": [[0.750, 0.750, 0.750], [0.250, 0.250, 0.250], [0.500, 0.500, 0.500], [0.000, 0.000, 0.000]],
  "delta_e_f_ev_per_atom": -0.39
}